First-principles (meta-GGA SCAN) data for Se3OF at its PBEsol-relaxed geometry, as listed in the Alexandria database.

## Properties
V (Å³ per atom): 16.5
ΔE_f (raw) (kJ per mole of atoms): 50.96

abc: 4.3572 4.3572 4.3572
angles: 90.00 90.00 90.00
Closest atoms and distances in Å follow each position.
Element x y z (fractional)
1 O 0.0000 0.0000 0.0000  6 Se 2.18
2 Se 0.0000 0.5000 0.0000  2 O 2.18
3 Se 0.0000 0.0000 0.5000  2 O 2.18
4 Se 0.5000 0.0000 0.0000  2 O 2.18
5 F 0.5000 0.5000 0.5000  12 Se 3.08